No. 1
A geometry-optimized Nd2Ga4SnPd3 structure. Source: the Alexandria database, functional GGA-PBE.

```
10
Lattice="4.344 0.000 0.000 0.000 4.344 0.000 0.000 0.000 10.755" Properties=species:S:1:pos:R:3 pbc="T T T"
Ga 0.000 0.000 0.000
Ga 2.172 2.172 0.000
Ga 2.172 0.000 7.015
Ga 0.000 2.172 3.739
Pd 0.000 0.000 5.377
Pd 2.172 0.000 9.452
Pd 0.000 2.172 1.302
Nd 0.000 2.172 8.202
Nd 2.172 0.000 2.553
Sn 2.172 2.172 5.377
```

Summary:
Crystal system: tetragonal
Space group: P-4m2 (115)
D(E_F) (states/eV/f.u.): 7.9
M_tot (μB per cell): 0.000
ΔE_f (meV/atom): -732

=====

No. 2
A geometry-optimized NdGaSnPd structure. Source: the Alexandria database, functional GGA-PBE.

```
4
Lattice="4.984 0.000 0.000 2.492 4.316 0.000 2.492 1.439 4.069" Properties=species:S:1:pos:R:3 pbc="T T T"
Ga 4.984 2.877 2.035
Sn 2.492 1.439 1.017
Nd 7.476 4.316 3.052
Pd 0.000 0.000 0.000
```

Summary:
Crystal system: cubic
Space group: F-43m (216)
D(E_F) (states/eV/f.u.): 1.2
M_tot (μB per cell): 0.000
ΔE_f (meV/atom): -614

=====

No. 3
A geometry-optimized Nd2Ga4Sn2Pd structure. Source: the Alexandria database, functional GGA-PBE.

```
9
Lattice="6.613 -0.142 -0.205 -3.299 5.733 0.205 -3.299 -1.822 5.439" Properties=species:S:1:pos:R:3 pbc="T T T"
Ga -1.838 2.755 3.976
Ga -3.299 0.290 3.976
Ga -3.299 3.620 1.669
Ga 1.853 1.014 1.463
Nd 0.007 -0.004 4.028
Nd 0.007 3.773 1.411
Sn -4.736 2.807 4.052
Sn -1.862 1.103 1.593
Pd 0.000 0.000 0.000
```

Summary:
Crystal system: tetragonal
Space group: I4/mmm (139)
D(E_F) (states/eV/f.u.): 4.6
M_tot (μB per cell): 0.000
ΔE_f (meV/atom): -539

=====

No. 4
A geometry-optimized Nd3Ga2SnPd9 structure. Source: the Alexandria database, functional GGA-PBE.

```
15
Lattice="-5.216 -1.551 -1.811 4.477 -0.279 -3.574 2.078 -11.032 3.463" Properties=species:S:1:pos:R:3 pbc="T T T"
Pd -0.370 -0.915 -2.693
Pd 1.285 -3.891 -0.371
Pd -2.202 -8.830 0.249
Pd 2.238 -0.139 -1.787
Pd -2.608 -0.776 -0.905
Pd 3.540 -4.031 -2.171
Pd 0.913 -4.812 -3.082
Pd 0.425 -8.049 1.161
Pd 0.053 -8.971 -1.551
Ga -0.246 -10.362 0.501
Ga 1.584 -2.499 -2.422
Nd 0.000 0.000 0.000
Nd 2.815 -9.034 -0.371
Nd -1.477 -3.828 -1.551
Sn 1.039 -5.516 1.732
```

Summary:
Crystal system: trigonal
Space group: P-3m1 (164)
D(E_F) (states/eV/f.u.): 7.8
M_tot (μB per cell): 0.000
ΔE_f (meV/atom): -584

=====

No. 5
A geometry-optimized NdGaSnPd3 structure. Source: the Alexandria database, functional GGA-PBE.

```
12
Lattice="6.277 0.000 0.000 0.000 6.380 0.000 0.000 -3.190 6.222" Properties=species:S:1:pos:R:3 pbc="T T T"
Pd 0.000 4.608 0.000
Pd 0.000 1.773 0.000
Pd 1.569 0.000 1.882
Pd 4.708 3.190 4.340
Pd 3.139 4.608 0.000
Pd 3.139 1.773 0.000
Nd 1.569 3.190 2.420
Nd 4.708 0.000 3.803
Sn 1.569 0.000 4.499
Sn 4.708 3.190 1.724
Ga 1.569 3.190 5.474
Ga 4.708 0.000 0.748
```

Summary:
Crystal system: orthorhombic
Space group: Cmcm (63)
D(E_F) (states/eV/f.u.): 3.3
M_tot (μB per cell): 0.000
ΔE_f (meV/atom): -593

=====

No. 6
A geometry-optimized SrNdGaPd structure. Source: the Alexandria database, functional GGA-PBE.

```
4
Lattice="5.271 0.000 0.000 2.636 4.565 0.000 2.636 1.522 4.304" Properties=species:S:1:pos:R:3 pbc="T T T"
Ga 2.636 1.522 1.076
Sr 5.271 3.043 2.152
Pd 7.907 4.565 3.228
Nd 0.000 0.000 0.000
```

Summary:
Crystal system: cubic
Space group: F-43m (216)
D(E_F) (states/eV/f.u.): 4.0
M_tot (μB per cell): 0.000
ΔE_f (meV/atom): -476

=====

No. 7
A geometry-optimized TbNdGaPd structure. Source: the Alexandria database, functional GGA-PBE.

```
4
Lattice="5.123 0.000 0.000 2.562 4.437 0.000 2.562 1.479 4.183" Properties=species:S:1:pos:R:3 pbc="T T T"
Ga 5.123 2.958 2.092
Tb 2.562 1.479 1.046
Nd 7.685 4.437 3.137
Pd 0.000 0.000 0.000
```

Summary:
Crystal system: cubic
Space group: F-43m (216)
D(E_F) (states/eV/f.u.): 3.7
M_tot (μB per cell): 0.000
ΔE_f (meV/atom): -639

=====

No. 8
A geometry-optimized TbNdGaPd structure. Source: the Alexandria database, functional GGA-PBE.

```
4
Lattice="-0.630 -1.053 -3.660 -4.232 -1.050 1.030 -1.293 5.790 0.593" Properties=species:S:1:pos:R:3 pbc="T T T"
Nd -0.466 1.526 -0.359
Pd -1.361 4.457 -1.048
Ga -2.662 -0.294 -1.493
Tb -3.588 2.737 -2.205
```

Summary:
Crystal system: orthorhombic
Space group: Amm2 (38)
D(E_F) (states/eV/f.u.): 4.3
M_tot (μB per cell): 0.000
ΔE_f (meV/atom): -691

=====

No. 9
A geometry-optimized TbNd2Ga4Pd3 structure. Source: the Alexandria database, functional GGA-PBE.

```
10
Lattice="-2.531 0.274 -3.413 -3.303 -1.311 2.344 -2.480 11.137 2.734" Properties=species:S:1:pos:R:3 pbc="T T T"
Ga 0.000 0.000 0.000
Ga -2.924 7.584 0.122
Ga -2.917 -0.518 -0.534
Ga -2.473 3.035 2.078
Tb -4.157 5.050 0.833
Pd -3.446 9.929 0.698
Pd -1.240 5.569 1.367
Pd -1.951 0.690 1.503
Nd -1.825 2.651 -1.089
Nd -3.572 7.968 3.289
```

Summary:
Crystal system: tetragonal
Space group: P-4m2 (115)
D(E_F) (states/eV/f.u.): 7.9
M_tot (μB per cell): 0.000
ΔE_f (meV/atom): -717

=====

No. 10
A geometry-optimized NdThGa2Pd5 structure. Source: the Alexandria database, functional GGA-PBE.

```
9
Lattice="4.351 0.000 0.000 0.000 4.351 0.000 0.000 0.000 9.070" Properties=species:S:1:pos:R:3 pbc="T T T"
Pd 2.176 2.176 4.535
Pd 0.000 2.176 6.591
Pd 2.176 0.000 2.479
Pd 2.176 0.000 6.591
Pd 0.000 2.176 2.479
Th 0.000 0.000 0.000
Ga 2.176 2.176 1.259
Ga 2.176 2.176 7.811
Nd 0.000 0.000 4.535
```

Summary:
Crystal system: tetragonal
Space group: P4/mmm (123)
D(E_F) (states/eV/f.u.): 6.1
M_tot (μB per cell): 0.000
ΔE_f (meV/atom): -763

=====

No. 11
A geometry-optimized NdTiGa2Pd5 structure. Source: the Alexandria database, functional GGA-PBE.

```
9
Lattice="-4.377 0.980 1.527 -1.511 -4.177 -1.650 1.565 -3.132 6.497" Properties=species:S:1:pos:R:3 pbc="T T T"
Ga -1.636 -4.218 5.371
Ga -2.688 -2.112 1.002
Pd -1.849 -0.190 2.173
Pd -2.162 -3.165 3.187
Pd -0.416 -2.768 0.585
Pd 0.470 -4.541 4.262
Pd -0.964 -1.962 5.850
Ti 0.000 0.000 0.000
Nd 0.782 -1.566 3.249
```

Summary:
Crystal system: tetragonal
Space group: P4/mmm (123)
D(E_F) (states/eV/f.u.): 6.9
M_tot (μB per cell): 0.063
ΔE_f (meV/atom): -423

=====

No. 12
A geometry-optimized Nd2TlGa3Pd4 structure. Source: the Alexandria database, functional GGA-PBE.

```
10
Lattice="-2.275 1.306 -3.246 -3.390 0.136 2.431 2.424 11.088 2.760" Properties=species:S:1:pos:R:3 pbc="T T T"
Pd 0.464 7.976 0.200
Pd -2.833 0.721 -0.408
Pd 0.000 0.000 0.000
Pd -0.872 3.834 2.153
Tl -1.620 6.265 0.972
Ga -1.390 1.462 1.562
Ga 1.212 5.544 1.380
Ga 0.982 10.348 0.790
Nd -0.551 3.336 -0.955
Nd 0.143 8.473 3.308
```

Summary:
Crystal system: tetragonal
Space group: P-4m2 (115)
D(E_F) (states/eV/f.u.): 6.4
M_tot (μB per cell): 0.000
ΔE_f (meV/atom): -685